[1]
Computed, not measured: crystalline CaLa3Pd at its relaxed geometry at the GGA-PBE level of DFT.

The space group is Pm-3m (No. 221) and the conventional cell measures 5.685, 5.685 and 5.685 Å, with angles of 90.00, 90.00 and 90.00 degrees. The inequivalent atoms are Ca at (0.000, 0.000, 0.000), La at (0.000, 0.000, 0.500) and Pd at (0.500, 0.500, 0.500).

As for the offset from the most stable computed form: 1147 meV per atom.

=====

[2]
Computed, not measured: crystalline CsHoAgBr6 at its relaxed geometry at the GGA-PBE level of DFT.

The space group is P1 (No. 1) and the conventional cell measures 7.160, 7.163 and 8.096 Å, with angles of 92.48, 92.51 and 115.16 degrees. The inequivalent atoms are Cs at (0.000, 0.000, 0.000), Ho at (0.341, 0.660, 0.500), Ag at (0.686, 0.314, 0.500), Br at (0.028, 0.355, 0.672), Br at (0.038, 0.613, 0.266), Br at (0.389, 0.962, 0.735), Br at (0.417, 0.367, 0.295), Br at (0.633, 0.583, 0.705) and Br at (0.646, 0.973, 0.329).

The value obtained for the energy relative to the elements, uncorrected is -1.304 eV per atom.

=====

[3]
Computed, not measured: crystalline WS2Br at its relaxed geometry at the GGA-PBE level of DFT.

The space group is R-3m (No. 166, hexagonal axes) and the conventional cell measures 3.1781, 3.1781 and 32.9082 Å, with angles of 90.00, 90.00 and 120.00 degrees. The inequivalent atoms are W at (0.0000, 0.0000, 0.0000), S at (0.0000, 0.0000, 0.3818) and Br at (0.0000, 0.0000, 0.5000).

The value obtained for the energy relative to the elements, uncorrected is -0.295 eV per atom. As for the offset from the most stable computed form: 0 meV per atom.

=====

Across the entries above, calculated density takes the values 5.1 3.9 5.7 g cm⁻³, respectively.